Density functional theory data (PBE+U) for DyHfFe2O6 after structural relaxation.

Output
Crystal system ... triclinic
Energy ... -8.12 eV per atom

Unit cell a=5.442 b=5.456 c=5.711 alpha=61.28 beta=61.91 gamma=60.09
Site moments in Bohr magnetons follow the coordinates.
Sites, in units of the cell vectors:
1 Fe 0.025 0.023 0.927  3.79
2 O 0.244 0.909 0.245  0.12
3 O 0.146 0.396 0.752  0.11
4 Fe 0.520 0.521 0.439  4.33
5 Hf 0.310 0.314 0.066  0.03
6 O 0.708 0.139 0.758  0.11
7 O 0.400 0.704 0.749  0.10
8 O 0.594 0.250 0.251  0.12
9 Dy 0.807 0.808 0.578  0.01
10 O 0.908 0.596 0.250  0.11